1.
! AcMg6Cu4, relaxed, DFT PBE; values from VASP
&SYSTEM
  ibrav = 0, nat = 11, ntyp = 3
/
ATOMIC_SPECIES
Ac 227.00 Ac.upf
Mg 24.30 Mg.upf
Cu 63.55 Cu.upf
ATOMIC_POSITIONS angstrom
Ac 0.000 0.000 0.000
Mg 0.000 2.695 2.169
Mg -1.494 5.282 2.169
Mg 3.828 0.430 0.000
Mg 2.286 3.100 0.000
Mg 1.494 5.282 2.169
Mg 5.369 3.100 0.000
Cu 0.000 4.420 0.000
Cu 2.457 1.419 2.169
Cu 5.198 1.419 2.169
Cu 3.828 3.792 2.169
CELL_PARAMETERS angstrom
7.656 0.000 0.000
-3.828 6.630 0.000
0.000 0.000 4.338
! - formation energy from the elements (eV per formula unit) = -1.1

2.
! TaPb2, relaxed, DFT PBE; values from VASP
&SYSTEM
  ibrav = 0, nat = 9, ntyp = 2
/
ATOMIC_SPECIES
Ta 180.95 Ta.upf
Pb 207.20 Pb.upf
ATOMIC_POSITIONS angstrom
Ta 0.000 0.000 0.000
Ta 0.000 5.110 1.617
Ta 4.425 2.555 1.617
Pb -1.243 2.153 1.617
Pb -2.698 4.673 0.000
Pb 2.487 0.000 1.617
Pb 1.727 2.992 0.000
Pb 5.396 0.000 0.000
Pb 3.182 5.511 1.617
CELL_PARAMETERS angstrom
8.850 0.000 0.000
-4.425 7.665 0.000
0.000 0.000 3.234
! - formation energy from the elements (eV per formula unit) = 2.0

3.
! Ac2SmDy3Y6, relaxed, DFT PBE; values from VASP
&SYSTEM
  ibrav = 0, nat = 12, ntyp = 4
/
ATOMIC_SPECIES
Ac 227.00 Ac.upf
Sm 150.36 Sm.upf
Dy 162.50 Dy.upf
Y 88.91 Y.upf
ATOMIC_POSITIONS angstrom
Ac 3.166 3.654 0.000
Ac 3.166 -3.654 0.000
Sm 3.166 0.000 0.000
Dy -1.053 0.000 5.880
Dy 2.113 1.826 5.880
Dy 2.113 -1.826 5.880
Y 0.008 1.815 8.733
Y 1.073 0.000 3.027
Y 0.008 -1.815 8.733
Y 4.217 1.815 3.028
Y 3.152 0.000 8.734
Y 4.217 -1.815 3.028
CELL_PARAMETERS angstrom
3.166 -5.481 0.000
3.166 5.481 0.000
-2.106 0.000 11.761
! - formation energy from the elements (eV per formula unit) = 0.5

4.
! Pr3Sm2Cd, relaxed, DFT PBE; values from VASP
&SYSTEM
  ibrav = 0, nat = 6, ntyp = 3
/
ATOMIC_SPECIES
Pr 140.91 Pr.upf
Sm 150.36 Sm.upf
Cd 112.41 Cd.upf
ATOMIC_POSITIONS angstrom
Pr 0.000 0.000 0.000
Pr 0.000 0.000 5.130
Pr 0.000 0.000 9.372
Sm 1.853 1.853 2.564
Sm 1.853 1.853 11.939
Cd 1.853 1.853 7.251
CELL_PARAMETERS angstrom
3.705 0.000 0.000
0.000 3.705 0.000
0.000 0.000 14.503
! - offset from the most stable computed form (eV per formula unit) = 0.00
! - formation energy from the elements (eV per formula unit) = -0.6

5.
! BaGeSeBr2, relaxed, DFT PBE; values from VASP
&SYSTEM
  ibrav = 0, nat = 5, ntyp = 4
/
ATOMIC_SPECIES
Ba 137.33 Ba.upf
Ge 72.64 Ge.upf
Se 78.96 Se.upf
Br 79.90 Br.upf
ATOMIC_POSITIONS angstrom
Ba 0.000 0.000 0.000
Ge 2.688 2.688 2.743
Se 2.688 2.688 0.000
Br 0.000 2.688 2.743
Br 2.688 0.000 2.743
CELL_PARAMETERS angstrom
5.377 0.000 0.000
0.000 5.377 0.000
0.000 0.000 5.486
! - offset from the most stable computed form (eV per formula unit) = 0.00
! - E_form (uncorrected) (meV/atom) = -1095

6.
! PmMg2GePd2, relaxed, DFT PBE; values from VASP
&SYSTEM
  ibrav = 0, nat = 6, ntyp = 4
/
ATOMIC_SPECIES
Pm 145.00 Pm.upf
Mg 24.30 Mg.upf
Ge 72.64 Ge.upf
Pd 106.42 Pd.upf
ATOMIC_POSITIONS angstrom
Pm 0.000 0.000 0.000
Mg 2.506 0.000 2.733
Mg 0.000 2.506 2.733
Ge 0.000 0.000 5.465
Pd 0.000 0.000 3.086
Pd 0.000 0.000 7.844
CELL_PARAMETERS angstrom
-2.506 2.506 5.465
2.506 -2.506 5.465
2.506 2.506 -5.465
! - formation energy from the elements (eV per formula unit) = -2.2

7.
! BC3, relaxed, DFT PBE; values from VASP
&SYSTEM
  ibrav = 0, nat = 12, ntyp = 2
/
ATOMIC_SPECIES
B 10.81 B.upf
C 12.01 C.upf
ATOMIC_POSITIONS angstrom
B 0.000 0.000 0.000
B 0.776 1.280 5.046
B 1.769 1.280 1.241
C 0.795 1.280 2.578
C 0.873 1.280 7.620
C 1.782 1.280 3.770
C 1.848 1.280 6.505
C 2.614 0.000 6.288
C 2.664 0.000 3.798
C 2.806 0.000 1.272
C 3.526 0.000 5.099
C 3.652 0.000 2.539
CELL_PARAMETERS angstrom
3.742 0.000 0.000
0.000 2.561 0.000
-0.021 0.000 7.807
! - offset from the most stable computed form (eV per formula unit) = 0.18
! - formation energy from the elements (eV per formula unit) = 1.1

8.
! Tb2TiAl, relaxed, DFT PBE; values from VASP
&SYSTEM
  ibrav = 0, nat = 4, ntyp = 3
/
ATOMIC_SPECIES
Tb 158.93 Tb.upf
Ti 47.87 Ti.upf
Al 26.98 Al.upf
ATOMIC_POSITIONS angstrom
Tb 1.823 1.823 1.823
Tb 5.470 5.470 5.470
Ti 0.000 0.000 0.000
Al 3.647 3.647 3.647
CELL_PARAMETERS angstrom
0.000 3.647 3.647
3.647 0.000 3.647
3.647 3.647 0.000
! - offset from the most stable computed form (eV per formula unit) = 0.08
! - formation energy from the elements (eV per formula unit) = -0.2

9.
! Cs2BaCu2Br6, relaxed, DFT PBE; values from VASP
&SYSTEM
  ibrav = 0, nat = 11, ntyp = 4
/
ATOMIC_SPECIES
Cs 132.91 Cs.upf
Ba 137.33 Ba.upf
Cu 63.55 Cu.upf
Br 79.90 Br.upf
ATOMIC_POSITIONS angstrom
Cs 2.062 0.000 1.541
Cs 7.427 0.000 6.675
Ba -2.139 0.000 4.108
Cu 3.037 0.000 6.091
Cu 6.452 0.000 2.125
Br 5.290 2.005 1.604
Br 0.914 0.000 5.056
Br 4.199 2.005 6.612
Br 5.290 -2.005 1.604
Br 8.575 0.000 3.160
Br 4.199 -2.005 6.612
CELL_PARAMETERS angstrom
6.884 -3.996 0.000
6.884 3.996 0.000
-4.279 0.000 8.216
! - E_form (uncorrected) (meV/atom) = -1329

10.
! PrGeSb2, relaxed, DFT PBE; values from VASP
&SYSTEM
  ibrav = 0, nat = 4, ntyp = 3
/
ATOMIC_SPECIES
Pr 140.91 Pr.upf
Ge 72.64 Ge.upf
Sb 121.76 Sb.upf
ATOMIC_POSITIONS angstrom
Pr 0.000 0.000 0.000
Ge 0.000 0.000 12.235
Sb 0.000 0.000 9.686
Sb 0.000 0.000 14.784
CELL_PARAMETERS angstrom
2.452 1.416 8.157
-2.452 1.416 8.157
0.000 -2.831 8.157
! - offset from the most stable computed form (eV per formula unit) = 2.14
! - E_form (uncorrected) (meV/atom) = 96

11.
! AcPmPaGa, relaxed, DFT PBE; values from VASP
&SYSTEM
  ibrav = 0, nat = 4, ntyp = 4
/
ATOMIC_SPECIES
Ac 227.00 Ac.upf
Pm 145.00 Pm.upf
Pa 231.04 Pa.upf
Ga 69.72 Ga.upf
ATOMIC_POSITIONS angstrom
Ac 0.000 0.000 0.000
Pm 3.875 3.875 3.875
Pa 1.937 1.937 1.937
Ga 5.812 5.812 5.812
CELL_PARAMETERS angstrom
0.000 3.875 3.875
3.875 0.000 3.875
3.875 3.875 0.000
! - formation energy from the elements (eV per formula unit) = 1.1

12.
! CuAg2OF, relaxed, DFT PBE; values from VASP
&SYSTEM
  ibrav = 0, nat = 5, ntyp = 4
/
ATOMIC_SPECIES
Cu 63.55 Cu.upf
Ag 107.87 Ag.upf
O 16.00 O.upf
F 19.00 F.upf
ATOMIC_POSITIONS angstrom
Cu 0.000 0.000 0.000
Ag 0.000 2.468 0.000
Ag 2.468 0.000 0.000
O 2.468 2.468 1.799
F 0.000 0.000 1.799
CELL_PARAMETERS angstrom
4.936 0.000 0.000
0.000 4.936 0.000
0.000 0.000 3.598
! - E_form (uncorrected) (meV/atom) = 237

Number 1: energy -31.2 eV for the cell shown, total magnetization 0.000 μB per cell, DOS at the Fermi energy 7.42 states/eV per cell. Number 2: energy -51.9 eV for the cell shown, total magnetization 0.001 μB per cell, DOS at the Fermi energy 10.00 states/eV per cell. Number 3: energy -65.0 eV for the cell shown, total magnetization 0.000 μB per cell, DOS at the Fermi energy 16.44 states/eV per cell. Number 4: energy -25.3 eV for the cell shown, total magnetization 0.000 μB per cell, DOS at the Fermi energy 7.71 states/eV per cell. Number 5: energy -18.8 eV for the cell shown, total magnetization 0.000 μB per cell, DOS at the Fermi energy 0.28 states/eV per cell. Number 6: energy -25.2 eV for the cell shown, total magnetization 0.000 μB per cell, DOS at the Fermi energy 3.26 states/eV per cell. Number 7: energy -99.6 eV for the cell shown, total magnetization 0.000 μB per cell, DOS at the Fermi energy 1.45 states/eV per cell. Number 8: energy -21.1 eV for the cell shown, total magnetization 2.456 μB per cell, DOS at the Fermi energy 5.09 states/eV per cell. Number 9: energy -36.5 eV for the cell shown, total magnetization 0.197 μB per cell, DOS at the Fermi energy 0.00 states/eV per cell. Number 10: energy -17.3 eV for the cell shown, total magnetization 0.000 μB per cell, DOS at the Fermi energy 3.64 states/eV per cell. Number 11: energy -20.3 eV for the cell shown, total magnetization 0.692 μB per cell, DOS at the Fermi energy 7.01 states/eV per cell. Number 12: energy -15.4 eV for the cell shown, total magnetization 0.168 μB per cell, DOS at the Fermi energy 0.75 states/eV per cell.